(1)
Below is an optimized crystal structure of TbLuHf, with properties calculated at the PBE level.

Structure (CIF):
```
data_TbLuHf
_chemical_formula_sum 'Tb1 Lu1 Hf1'
_cell_length_a 3.3637
_cell_length_b 3.3637
_cell_length_c 8.3332
_cell_angle_alpha 90.00
_cell_angle_beta 90.00
_cell_angle_gamma 120.00
_space_group_name_H-M_alt 'P 3 m 1'
_space_group_IT_number 156
loop_
_space_group_symop_operation_xyz
'x,y,z'
'-y,x-y,z'
'-x+y,-x,z'
'-y,-x,z'
'-x+y,y,z'
'x,x-y,z'
loop_
_atom_site_label
_atom_site_fract_x
_atom_site_fract_y
_atom_site_fract_z
_atom_site_occupancy
Tb1 0.0000 0.0000 0.0000 1
Lu1 0.3333 0.6667 0.6290 1
Hf1 0.6667 0.3333 0.3170 1
```

Calculated values
**Total magnetization**: 0.00 μB per formula unit
**Formation energy from the elements**: 0.4 eV/f.u.
**Excess energy over the best structure of this formula in the dataset**: 10 meV per atom
**Density**: 10.42 g/cm³
**Total energy**: -6.249 eV per atom
**Fermi-level density of states**: 3.4 states/eV/f.u.

(2)
Below is an optimized crystal structure of TbLu2Hf, with properties calculated at the PBE level.

Structure (CIF):
```
data_TbLu2Hf
_chemical_formula_sum 'Tb1 Lu2 Hf1'
_cell_length_a 4.786
_cell_length_b 4.786
_cell_length_c 4.794
_cell_angle_alpha 90.00
_cell_angle_beta 90.00
_cell_angle_gamma 90.00
_space_group_name_H-M_alt 'P 4/m m m'
_space_group_IT_number 123
_space_group_name_Hall '-P 4 2'
loop_
_atom_site_label
_atom_site_fract_x
_atom_site_fract_y
_atom_site_fract_z
_atom_site_occupancy
Tb1 0.000 0.000 0.000 1
Lu1 0.000 0.500 0.500 1
Hf1 0.500 0.500 0.000 1
```

Calculated values
**Total magnetization**: 0.00 μB per formula unit
**Formation energy from the elements**: 0.5 eV/f.u.
**Excess energy over the best structure of this formula in the dataset**: 0 meV per atom
**Density**: 10.39 g/cm³
**Total energy**: -5.778 eV per atom
**Fermi-level density of states**: 5.8 states/eV/f.u.

(3)
Below is an optimized crystal structure of Tb2LuHf, with properties calculated at the PBE level.

Structure (CIF):
```
data_Tb2LuHf
_chemical_formula_sum 'Tb6 Lu3 Hf3'
_cell_length_a 3.3214
_cell_length_b 3.3214
_cell_length_c 35.7306
_cell_angle_alpha 90.00
_cell_angle_beta 90.00
_cell_angle_gamma 120.00
_space_group_name_H-M_alt 'R -3 m'
_space_group_IT_number 166
_space_group_name_Hall '-R 3 2"'
loop_
_atom_site_label
_atom_site_fract_x
_atom_site_fract_y
_atom_site_fract_z
_atom_site_occupancy
Tb1 0.0000 0.0000 0.0870 1
Lu1 0.0000 0.0000 0.5000 1
Hf1 0.0000 0.0000 0.0000 1
```

Calculated values
**Total magnetization**: 0.00 μB per formula unit
**Formation energy from the elements**: 1.4 eV/f.u.
**Excess energy over the best structure of this formula in the dataset**: 211 meV per atom
**Density**: 9.80 g/cm³
**Total energy**: -5.584 eV per atom
**Fermi-level density of states**: 5.9 states/eV/f.u.

(4)
Below is an optimized crystal structure of Tb2LuHf, with properties calculated at the PBE level.

Structure (CIF):
```
data_Tb2LuHf
_chemical_formula_sum 'Tb2 Lu1 Hf1'
_cell_length_a 3.980
_cell_length_b 3.980
_cell_length_c 7.162
_cell_angle_alpha 90.00
_cell_angle_beta 90.00
_cell_angle_gamma 90.00
_space_group_name_H-M_alt 'P 4/m m m'
_space_group_IT_number 123
_space_group_name_Hall '-P 4 2'
loop_
_atom_site_label
_atom_site_fract_x
_atom_site_fract_y
_atom_site_fract_z
_atom_site_occupancy
Tb1 0.000 0.000 0.227 1
Lu1 0.500 0.500 0.500 1
Hf1 0.500 0.500 0.000 1
```

Calculated values
**Total magnetization**: 0.00 μB per formula unit
**Formation energy from the elements**: 0.9 eV/f.u.
**Excess energy over the best structure of this formula in the dataset**: 75 meV per atom
**Density**: 9.83 g/cm³
**Total energy**: -5.721 eV per atom
**Fermi-level density of states**: 6.0 states/eV/f.u.

(5)
Below is an optimized crystal structure of TbLuHf2, with properties calculated at the PBE level.

Structure (CIF):
```
data_TbLuHf2
_chemical_formula_sum 'Tb1 Lu1 Hf2'
_cell_length_a 4.650
_cell_length_b 4.650
_cell_length_c 4.732
_cell_angle_alpha 90.00
_cell_angle_beta 90.00
_cell_angle_gamma 90.00
_space_group_name_H-M_alt 'P 4/m m m'
_space_group_IT_number 123
_space_group_name_Hall '-P 4 2'
loop_
_atom_site_label
_atom_site_fract_x
_atom_site_fract_y
_atom_site_fract_z
_atom_site_occupancy
Tb1 0.000 0.000 0.000 1
Lu1 0.500 0.500 0.000 1
Hf1 0.000 0.500 0.500 1
```

Calculated values
**Total magnetization**: 0.00 μB per formula unit
**Formation energy from the elements**: 0.7 eV/f.u.
**Density**: 11.21 g/cm³
**Total energy**: -7.090 eV per atom
**Fermi-level density of states**: 4.8 states/eV/f.u.

(6)
Below is an optimized crystal structure of TbLuHfTh, with properties calculated at the PBE level.

Structure (CIF):
```
data_TbLuHfTh
_chemical_formula_sum 'Tb4 Lu4 Hf4 Th4'
_cell_length_a 7.688
_cell_length_b 7.688
_cell_length_c 7.688
_cell_angle_alpha 90.00
_cell_angle_beta 90.00
_cell_angle_gamma 90.00
_space_group_name_H-M_alt 'F -4 3 m'
_space_group_IT_number 216
_space_group_name_Hall 'F -4 2 3'
loop_
_atom_site_label
_atom_site_fract_x
_atom_site_fract_y
_atom_site_fract_z
_atom_site_occupancy
Tb1 0.000 0.000 0.000 1
Lu1 0.250 0.250 0.250 1
Hf1 0.250 0.250 0.750 1
Th1 0.000 0.000 0.500 1
```

Calculated values
**Total magnetization**: 0.00 μB per formula unit
**Formation energy from the elements**: 0.7 eV/f.u.
**Density**: 10.88 g/cm³
**Total energy**: -6.451 eV per atom
**Fermi-level density of states**: 5.8 states/eV/f.u.

(7)
Below is an optimized crystal structure of TbLuHfZr, with properties calculated at the PBE level.

Structure (CIF):
```
data_TbLuHfZr
_chemical_formula_sum 'Tb4 Lu4 Hf4 Zr4'
_cell_length_a 7.447
_cell_length_b 7.447
_cell_length_c 7.447
_cell_angle_alpha 90.00
_cell_angle_beta 90.00
_cell_angle_gamma 90.00
_space_group_name_H-M_alt 'F -4 3 m'
_space_group_IT_number 216
_space_group_name_Hall 'F -4 2 3'
loop_
_atom_site_label
_atom_site_fract_x
_atom_site_fract_y
_atom_site_fract_z
_atom_site_occupancy
Tb1 0.000 0.000 0.000 1
Lu1 0.250 0.250 0.750 1
Hf1 0.250 0.250 0.250 1
Zr1 0.000 0.000 0.500 1
```

Calculated values
**Total magnetization**: 0.67 μB per formula unit
**Formation energy from the elements**: 1.0 eV/f.u.
**Density**: 9.71 g/cm³
**Total energy**: -6.666 eV per atom
**Fermi-level density of states**: 9.1 states/eV/f.u.

(8)
Below is an optimized crystal structure of LuHfTc2, with properties calculated at the PBE level.

Structure (CIF):
```
data_LuHfTc2
_chemical_formula_sum 'Lu4 Hf4 Tc8'
_cell_length_a 6.619
_cell_length_b 6.619
_cell_length_c 6.619
_cell_angle_alpha 90.00
_cell_angle_beta 90.00
_cell_angle_gamma 90.00
_space_group_name_H-M_alt 'F m -3 m'
_space_group_IT_number 225
_space_group_name_Hall '-F 4 2 3'
loop_
_atom_site_label
_atom_site_fract_x
_atom_site_fract_y
_atom_site_fract_z
_atom_site_occupancy
Lu1 0.000 0.000 0.000 1
Hf1 0.000 0.000 0.500 1
Tc1 0.250 0.250 0.250 1
```

Calculated values
**Total magnetization**: 0.00 μB per formula unit
**Formation energy from the elements**: -0.7 eV/f.u.
**Excess energy over the best structure of this formula in the dataset**: 15 meV per atom
**Density**: 12.59 g/cm³
**Total energy**: -8.988 eV per atom
**Fermi-level density of states**: 5.2 states/eV/f.u.